1.
The following is a PBE-GGA calculation of BaY2Mg after structural relaxation, from the Alexandria database.

Computed properties:
- energy relative to the elements (eV/atom) = 0.06

CIF file:
```
data_BaY2Mg
_cell_length_a 3.8893
_cell_length_b 3.8893
_cell_length_c 9.5479
_cell_angle_alpha 90.00
_cell_angle_beta 90.00
_cell_angle_gamma 90.00
_space_group_name_H-M_alt 'P 4 m m'
_space_group_IT_number 99
loop_
_space_group_symop_operation_xyz
'x,y,z'
'-y,x,z'
'-x,-y,z'
'y,-x,z'
'-x,y,z'
'y,x,z'
'x,-y,z'
'-y,-x,z'
loop_
_atom_site_label
_atom_site_type_symbol
_atom_site_fract_x
_atom_site_fract_y
_atom_site_fract_z
Ba1 Ba 0.0000 0.0000 0.0000
Y1 Y 0.0000 0.0000 0.4544
Y2 Y 0.5000 0.5000 0.6811
Mg1 Mg 0.5000 0.5000 0.2677
```

=====

2.
The following is a PBE-GGA calculation of BaYMg6 after structural relaxation, from the Alexandria database.

Computed properties:
- E above lowest polymorph (eV per atom) = 0.000
- energy relative to the elements (eV/atom) = 0.00

CIF file:
```
data_BaYMg6
_cell_length_a 5.3233
_cell_length_b 7.0133
_cell_length_c 12.1252
_cell_angle_alpha 90.00
_cell_angle_beta 90.00
_cell_angle_gamma 90.00
_space_group_name_H-M_alt 'A m m 2'
_space_group_IT_number 38
loop_
_space_group_symop_operation_xyz
'x,y,z'
'-x,-y,z'
'-x,y,z'
'x,-y,z'
'x,y+1/2,z+1/2'
'-x,-y+1/2,z+1/2'
'-x,y+1/2,z+1/2'
'x,-y+1/2,z+1/2'
loop_
_atom_site_label
_atom_site_type_symbol
_atom_site_fract_x
_atom_site_fract_y
_atom_site_fract_z
Ba1 Ba 0.0000 0.0000 0.0000
Y1 Y 0.5000 0.0000 0.6669
Mg1 Mg 0.0000 0.0000 0.4993
Mg2 Mg 0.0000 0.2487 0.2505
Mg3 Mg 0.5000 0.0000 0.1815
Mg4 Mg 0.5000 0.2281 0.4096
```

=====

Which value of energy relative to the elements does entry 2 give?
0.00 eV/atom